## Na2SrMoO4 (PBE+U)

Data for a relaxed structure of Na2SrMoO4.

- electronic total energy (eV per atom) = -5.74

a b c (Å): 5.7608 5.5766 5.5766
angles (deg): 86.14 58.90 58.90
Site moments in Bohr magnetons follow the coordinates.
Element x y z (fractional)
1 Sr 0.0000 0.0000 0.0000  0.01
2 Na 0.5000 0.7500 0.2500  0.00
3 O 0.5763 0.5877 0.8360  0.03
4 Na 0.5000 0.2500 0.7500  0.00
5 O 0.4237 0.1640 0.4123  0.03
6 O 0.0000 0.4123 0.1640  0.03
7 Mo 0.0000 0.5000 0.5000  1.76
8 O 0.0000 0.8360 0.5877  0.03